1.
VASP calculation (GGA-PBEsol) on a relaxed NaSr2H2 crystal.

Computed properties:
As for the electronic total energy: -2.65 eV per atom. The calculation puts the total moment at 0.00 Bohr magnetons per cell.

Unit cell a=7.8771 b=7.8771 c=7.8771 alpha=148.90 beta=148.90 gamma=44.56
With the nearest neighbours (Å) after each atom.
Fractional positions:
Na (0.0000, 0.0000, 0.0000)  8 Sr 3.83, 8 H 4.21, 4 Na 4.22
Sr (0.3356, 0.3356, 0.0000)  4 H 2.45
Sr (0.6644, 0.6644, 0.0000)  4 H 2.45
H (0.2500, 0.7500, 0.5000)  4 Sr 2.45
H (0.7500, 0.2500, 0.5000)  4 Sr 2.45

2.
VASP calculation (GGA-PBEsol) on a relaxed Cs2I4O11 crystal.

Computed properties:
The relative energy among the computed polymorphs is 0.000 eV/atom. Its energy relative to the elements, uncorrected is -0.739 eV per atom. The calculation puts the total moment at 0.00 Bohr magnetons per cell.

Unit cell a=12.6200 b=7.3005 c=15.8774 alpha=90.00 beta=121.97 gamma=90.00
With the nearest neighbours (Å) after each atom.
Fractional positions:
Cs (0.1237, 0.2478, 0.0597)  9 O 3.17-3.38
Cs (0.1237, 0.2522, 0.5597)  9 O 3.17-3.38
Cs (0.3712, 0.2487, 0.4312)  9 O 3.13-3.33
Cs (0.3712, 0.2513, 0.9312)  9 O 3.13-3.33
Cs (0.6288, 0.7487, 0.0688)  9 O 3.13-3.33
Cs (0.6288, 0.7513, 0.5688)  9 O 3.13-3.33
Cs (0.8763, 0.7478, 0.4403)  9 O 3.17-3.38
Cs (0.8763, 0.7522, 0.9403)  9 O 3.17-3.38
I (0.0112, 0.5038, 0.2379)  3 O 1.82-2.03
I (0.0112, 0.9962, 0.7379)  3 O 1.82-2.03
I (0.2359, 0.7159, 0.7345)  2 O 1.82
I (0.2359, 0.7841, 0.2345)  2 O 1.82
I (0.2653, 0.7288, 0.4954)  3 O 1.84
I (0.2653, 0.7712, 0.9954)  3 O 1.84
I (0.4853, 0.0346, 0.7390)  3 O 1.82-2.00
I (0.4853, 0.4654, 0.2390)  3 O 1.82-2.00
I (0.5147, 0.5346, 0.7610)  3 O 1.82-2.00
I (0.5147, 0.9654, 0.2610)  3 O 1.82-2.00
I (0.7347, 0.2288, 0.0046)  3 O 1.84
I (0.7347, 0.2712, 0.5046)  3 O 1.84
I (0.7641, 0.2159, 0.7655)  2 O 1.82
I (0.7641, 0.2841, 0.2655)  2 O 1.82
I (0.9888, 0.0038, 0.2621)  3 O 1.82-2.03
I (0.9888, 0.4962, 0.7621)  3 O 1.82-2.03
O (0.0588, 0.7423, 0.7177)  2 I 2.03-2.12
O (0.0588, 0.7577, 0.2177)  2 I 2.03-2.12
O (0.0790, 0.5444, 0.8952)  1 I 1.83
O (0.0790, 0.9556, 0.3952)  1 I 1.83
O (0.1083, 0.1148, 0.2490)  1 I 1.82
O (0.1083, 0.3852, 0.7490)  1 I 1.82
O (0.1613, 0.5410, 0.4195)  1 I 1.84
O (0.1613, 0.9590, 0.9195)  1 I 1.84
O (0.1633, 0.6794, 0.6014)  1 I 1.82
O (0.1633, 0.8206, 0.1014)  1 I 1.82
O (0.2371, 0.5350, 0.2387)  1 I 1.82
O (0.2371, 0.9650, 0.7387)  1 I 1.82
O (0.3260, 0.7007, 0.9174)  1 I 1.84
O (0.3260, 0.7993, 0.4174)  1 I 1.84
O (0.3821, 0.0268, 0.6043)  1 I 1.82
O (0.3821, 0.4732, 0.1043)  1 I 1.82
O (0.3881, 0.1107, 0.2459)  1 I 1.82
O (0.3881, 0.3893, 0.7459)  1 I 1.82
O (0.3994, 0.5826, 0.5799)  1 I 1.84
O (0.3994, 0.9174, 0.0799)  1 I 1.84
O (0.4195, 0.7474, 0.2622)  2 I 2.00-2.13
O (0.4195, 0.7526, 0.7622)  2 I 2.00-2.13
O (0.5805, 0.2474, 0.2378)  2 I 2.00-2.13
O (0.5805, 0.2526, 0.7378)  2 I 2.00-2.13
O (0.6006, 0.0826, 0.9201)  1 I 1.84
O (0.6006, 0.4174, 0.4201)  1 I 1.84
O (0.6119, 0.6107, 0.2541)  1 I 1.82
O (0.6119, 0.8893, 0.7541)  1 I 1.82
O (0.6179, 0.5268, 0.8957)  1 I 1.82
O (0.6179, 0.9732, 0.3957)  1 I 1.82
O (0.6740, 0.2007, 0.5826)  1 I 1.84
O (0.6740, 0.2993, 0.0826)  1 I 1.84
O (0.7629, 0.0350, 0.2613)  1 I 1.82
O (0.7629, 0.4650, 0.7613)  1 I 1.82
O (0.8367, 0.1794, 0.8986)  1 I 1.82
O (0.8367, 0.3206, 0.3986)  1 I 1.82
O (0.8387, 0.0410, 0.0805)  1 I 1.84
O (0.8387, 0.4590, 0.5805)  1 I 1.84
O (0.8917, 0.6148, 0.2510)  1 I 1.82
O (0.8917, 0.8852, 0.7510)  1 I 1.82
O (0.9210, 0.0444, 0.6048)  1 I 1.83
O (0.9210, 0.4556, 0.1048)  1 I 1.83
O (0.9412, 0.2423, 0.7823)  2 I 2.03-2.12
O (0.9412, 0.2577, 0.2823)  2 I 2.03-2.12

3.
VASP calculation (GGA-PBEsol) on a relaxed LiInHg2 crystal.

Computed properties:
The formation energy comes out at -0.233 eV per atom. The calculation puts the total moment at 0.00 Bohr magnetons per cell.

Unit cell a=3.1622 b=3.1622 c=8.3476 alpha=90.00 beta=90.00 gamma=90.00
With the nearest neighbours (Å) after each atom.
Fractional positions:
Li (0.0000, 0.0000, 0.0000)  8 Hg 2.87, 4 Li 3.16
In (0.0000, 0.0000, 0.5000)  4 In 3.16, 8 Hg 3.26
Hg (0.5000, 0.5000, 0.2156)  4 Li 2.87, 4 Hg 3.16
Hg (0.5000, 0.5000, 0.7844)  4 Li 2.87, 4 Hg 3.16

4.
VASP calculation (GGA-PBEsol) on a relaxed ScOsRu2 crystal.

Computed properties:
The relative energy among the computed polymorphs is 0.022 eV/atom. The formation energy comes out at 0.061 eV per atom. The calculation puts the total moment at 0.00 Bohr magnetons per cell.

Unit cell a=2.9698 b=4.4028 c=4.4841 alpha=90.00 beta=90.00 gamma=90.00
With the nearest neighbours (Å) after each atom.
Fractional positions:
Sc (0.0000, 0.0000, 0.0000)  4 Ru 2.66, 4 Os 2.69, 2 Sc 2.97
Os (0.5000, 0.0000, 0.5000)  4 Ru 2.66, 4 Sc 2.69, 2 Os 2.97
Ru (0.0000, 0.5000, 0.5000)  4 Os 2.66, 6 Ru 2.69-2.97
Ru (0.5000, 0.5000, 0.0000)  4 Sc 2.66, 6 Ru 2.69-2.97

5.
VASP calculation (GGA-PBEsol) on a relaxed Li2BiO2 crystal.

Computed properties:
Its energy relative to the elements, uncorrected is -1.492 eV per atom. The calculation puts the total moment at 0.00 Bohr magnetons per cell.

Unit cell a=5.9137 b=5.9137 c=5.9137 alpha=147.16 beta=145.30 gamma=48.53
With the nearest neighbours (Å) after each atom.
Fractional positions:
Li (0.2239, 0.2239, 0.0000)  4 O 1.90-2.09
Li (0.7761, 0.7761, 0.0000)  4 O 1.90-2.09
Bi (0.5000, 0.5000, 0.0000)  4 O 2.40
O (0.3405, 0.8405, 0.5000)  4 Li 1.90-2.09
O (0.6595, 0.1595, 0.5000)  4 Li 1.90-2.09

6.
VASP calculation (GGA-PBEsol) on a relaxed NaSrTl2S crystal.

Computed properties:
Its energy relative to the elements, uncorrected is 0.802 eV per atom. The calculation puts the total moment at 0.00 Bohr magnetons per cell.

Unit cell a=6.0067 b=6.0067 c=6.0217 alpha=90.00 beta=90.00 gamma=90.00
With the nearest neighbours (Å) after each atom.
Fractional positions:
Na (0.0000, 0.0000, 0.0000)  2 Sr 3.01
Sr (0.0000, 0.0000, 0.5000)  4 Tl 3.00, 2 Na 3.01
Tl (0.0000, 0.5000, 0.5000)  2 Sr 3.00
Tl (0.5000, 0.0000, 0.5000)  2 Sr 3.00
S (0.5000, 0.5000, 0.0000)  4 Na 4.25, 8 Tl 4.25

7.
VASP calculation (GGA-PBEsol) on a relaxed Li8NbS6 crystal.

Computed properties:
The relative energy among the computed polymorphs is 0.039 eV/atom. Its energy relative to the elements, uncorrected is -1.187 eV per atom. The calculation puts the total moment at 2.00 Bohr magnetons per cell.

Unit cell a=6.8694 b=6.8694 c=13.3161 alpha=90.00 beta=90.00 gamma=120.00
With the nearest neighbours (Å) after each atom.
Fractional positions:
Li (0.0000, 0.3217, 0.0000)  4 S 2.42-2.51
Li (0.0000, 0.3773, 0.6344)  4 S 2.43-2.66
Li (0.0000, 0.6227, 0.1344)  4 S 2.43-2.66
Li (0.0000, 0.6783, 0.5000)  4 S 2.42-2.51
Li (0.3217, 0.0000, 0.0000)  4 S 2.42-2.51
Li (0.3217, 0.3217, 0.5000)  4 S 2.42-2.51
Li (0.3333, 0.6667, 0.3665)  4 S 2.42-2.45
Li (0.3333, 0.6667, 0.8665)  4 S 2.42-2.45
Li (0.3773, 0.0000, 0.6344)  4 S 2.43-2.66
Li (0.3773, 0.3773, 0.1344)  4 S 2.43-2.66
Li (0.6227, 0.0000, 0.1344)  4 S 2.43-2.66
Li (0.6227, 0.6227, 0.6344)  4 S 2.43-2.66
Li (0.6667, 0.3333, 0.3665)  4 S 2.42-2.45
Li (0.6667, 0.3333, 0.8665)  4 S 2.42-2.45
Li (0.6783, 0.0000, 0.5000)  4 S 2.42-2.51
Li (0.6783, 0.6783, 0.0000)  4 S 2.42-2.51
Nb (0.0000, 0.0000, 0.2682)  4 S 2.32-2.37
Nb (0.0000, 0.0000, 0.7682)  4 S 2.32-2.37
S (0.0000, 0.0000, 0.0899)  1 Nb 2.37, 3 Li 2.51
S (0.0000, 0.0000, 0.5899)  1 Nb 2.37, 3 Li 2.51
S (0.0000, 0.3249, 0.8159)  1 Nb 2.32, 4 Li 2.42-2.45
S (0.0000, 0.6751, 0.3159)  1 Nb 2.32, 4 Li 2.42-2.45
S (0.3249, 0.0000, 0.8159)  1 Nb 2.32, 4 Li 2.42-2.45
S (0.3249, 0.3249, 0.3159)  1 Nb 2.32, 4 Li 2.42-2.45
S (0.3333, 0.6667, 0.0502)  7 Li 2.42-2.45
S (0.3333, 0.6667, 0.5502)  7 Li 2.42-2.45
S (0.6667, 0.3333, 0.0502)  7 Li 2.42-2.45
S (0.6667, 0.3333, 0.5502)  7 Li 2.42-2.45
S (0.6751, 0.0000, 0.3159)  1 Nb 2.32, 4 Li 2.42-2.45
S (0.6751, 0.6751, 0.8159)  1 Nb 2.32, 4 Li 2.42-2.45

8.
VASP calculation (GGA-PBEsol) on a relaxed BaBeAu crystal.

Computed properties:
The formation energy comes out at -0.203 eV per atom. The calculation puts the total moment at 0.00 Bohr magnetons per cell.

Unit cell a=4.1723 b=4.1723 c=4.8692 alpha=90.00 beta=90.00 gamma=120.00
With the nearest neighbours (Å) after each atom.
Fractional positions:
Ba (0.0000, 0.0000, 0.0000)  6 Be 3.42, 6 Au 3.42
Be (0.3333, 0.6667, 0.5000)  3 Au 2.41
Au (0.6667, 0.3333, 0.5000)  3 Be 2.41